Ba3SnI2Br6: optimized geometry, PBE.

Lattice parameters (Å, degrees): 9.505 9.505 7.173 93.27 93.27 59.93
Positions (direct):
Ba 0.000 0.000 0.000
Ba 0.000 0.500 0.500
Ba 0.500 0.000 0.500
Sn 0.500 0.500 0.500
I 0.186 0.186 0.806
I 0.814 0.814 0.194
Br 0.188 0.670 0.725
Br 0.330 0.812 0.275
Br 0.338 0.338 0.284
Br 0.662 0.662 0.716
Br 0.670 0.188 0.725
Br 0.812 0.330 0.275

Output
* formation energy (no corrections): -1685 meV per atom
* calculated total energy: -3.5937 eV/atom

SrTa2Zn: optimized geometry, PBE.

Lattice parameters (Å, degrees): 6.115 6.115 6.115 150.46 124.76 63.89
Positions (direct):
Sr 0.000 0.000 0.000
Ta 0.294 0.794 0.500
Ta 0.502 0.502 0.000
Zn 0.725 0.225 0.500

Output
* DFT formation energy: 0.77 eV per atom
* calculated total energy: -5.8918 eV/atom

SrZrReF2: optimized geometry, PBE.

Lattice parameters (Å, degrees): 4.552 4.552 5.076 90.00 90.00 90.00
Positions (direct):
Sr 0.000 0.000 0.000
Zr 0.500 0.500 0.000
Re 0.500 0.500 0.500
F 0.000 0.500 0.500
F 0.500 0.000 0.500

Output
* formation energy (no corrections): -189 meV per atom
* calculated total energy: -5.4731 eV/atom

HoErTl2: optimized geometry, PBE.

Lattice parameters (Å, degrees): 5.343 5.343 5.343 60.00 60.00 60.00
Positions (direct):
Ho 0.000 0.000 0.000
Er 0.500 0.500 0.500
Tl 0.250 0.250 0.250
Tl 0.750 0.750 0.750

Output
* relative energy among the computed polymorphs: 0.000 eV/atom
* DFT formation energy: -0.32 eV per atom
* calculated total energy: -3.7909 eV/atom

YSi2Tc2C: optimized geometry, PBE.

Lattice parameters (Å, degrees): 4.146 4.146 5.240 90.00 90.00 90.00
Positions (direct):
Y 0.000 0.000 0.000
Si 0.500 0.500 0.222
Si 0.500 0.500 0.778
Tc 0.000 0.500 0.500
Tc 0.500 0.000 0.500
C 0.000 0.000 0.500

Output
* formation energy (no corrections): -490 meV per atom
* calculated total energy: -8.3681 eV/atom

Rb2HoUTe4: optimized geometry, PBE.

Lattice parameters (Å, degrees): 7.859 4.532 8.968 90.00 106.97 90.00
Positions (direct):
Rb 0.000 0.000 0.000
Rb 0.500 0.500 0.000
Ho 0.000 0.500 0.500
U 0.500 0.000 0.500
Te 0.229 0.000 0.700
Te 0.262 0.500 0.299
Te 0.738 0.500 0.701
Te 0.771 0.000 0.300

Output
* formation energy (no corrections): -1092 meV per atom
* calculated total energy: -4.8875 eV/atom